# KMoPt3 (GGA-PBE, relaxed)
data_KMoPt3
_cell_length_a 4.810
_cell_length_b 4.810
_cell_length_c 4.810
_cell_angle_alpha 90.00
_cell_angle_beta 90.00
_cell_angle_gamma 90.00
_space_group_name_H-M_alt 'P m -3 m'
_space_group_IT_number 221
_space_group_name_Hall '-P 4 2 3'
loop_
_atom_site_label
_atom_site_type_symbol
_atom_site_fract_x
_atom_site_fract_y
_atom_site_fract_z
K1 K 0.000 0.000 0.000
Mo1 Mo 0.500 0.500 0.500
Pt1 Pt 0.000 0.000 0.500
# electronic total energy: -3.40 eV/atom
# E above lowest polymorph: 2.010 eV per atom
# energy relative to the elements: 2.612 eV per atom